# 1
A plane-wave DFT calculation with PBE-GGA was carried out for B3MoAs after structural relaxation.

Cell: 4.191 4.191 4.191 Å, 90.00 90.00 90.00°
Sites, in units of the cell vectors:
Mo1 0.000 0.000 0.000
B1 0.000 0.500 0.000
B2 0.000 0.000 0.500
B3 0.500 0.000 0.000
As1 0.500 0.500 0.500

ΔE_f in meV/atom: 1603


# 2
A plane-wave DFT calculation with PBE-GGA was carried out for NaSm2NpSe4 after structural relaxation.

Cell: 4.157 7.228 7.240 Å, 70.61 90.00 90.00°
Sites, in units of the cell vectors:
Na1 0.500 0.500 0.000
Sm1 0.000 0.000 0.000
Sm2 0.500 0.000 0.500
Np1 0.000 0.500 0.500
Se1 0.000 0.751 0.749
Se2 0.000 0.249 0.251
Se3 0.500 0.746 0.252
Se4 0.500 0.254 0.748

Formation energy without anion corrections in eV/f.u.: -12.36


# 3
A plane-wave DFT calculation with PBE-GGA was carried out for Ti4ZnFe after structural relaxation.

Cell: 4.356 4.374 6.802 Å, 71.17 71.32 60.14°
Sites, in units of the cell vectors:
Ti1 0.639 0.639 0.084
Ti2 0.361 0.361 0.916
Ti3 0.116 0.113 0.655
Ti4 0.884 0.887 0.345
Zn1 0.500 0.500 0.500
Fe1 0.000 0.000 0.000

ΔE_f in meV/atom: 161


# 4
A plane-wave DFT calculation with PBE-GGA was carried out for SiP2Se after structural relaxation.

Cell: 3.056 3.056 7.838 Å, 90.00 90.00 90.00°
Sites, in units of the cell vectors:
P1 0.000 0.000 0.905
P2 0.000 0.000 0.595
Se1 0.500 0.500 0.250
Si1 0.500 0.500 0.750

Formation energy without anion corrections in eV/f.u.: 1.84


# 5
A plane-wave DFT calculation with PBE-GGA was carried out for PaRe2Tc after structural relaxation.

Cell: 2.854 2.854 9.860 Å, 81.68 81.68 60.00°
Sites, in units of the cell vectors:
Re1 0.740 0.740 0.781
Re2 0.260 0.260 0.219
Pa1 0.500 0.500 0.500
Tc1 0.000 0.000 0.000

ΔE_f in meV/atom: 256


# 6
A plane-wave DFT calculation with PBE-GGA was carried out for Sm12Cu3O5 after structural relaxation.

Cell: 13.465 13.465 13.465 Å, 109.47 109.47 109.47°
Sites, in units of the cell vectors:
Sm1 0.705 0.114 0.019
Sm2 0.315 0.519 0.405
Sm3 0.981 0.386 0.295
Sm4 0.519 0.205 0.114
Sm5 0.591 0.705 0.685
Sm6 0.981 0.595 0.185
Sm7 0.315 0.795 0.409
Sm8 0.095 0.909 0.114
Sm9 0.595 0.981 0.685
Sm10 0.705 0.591 0.185
Sm11 0.795 0.481 0.386
Sm12 0.815 0.905 0.019
Sm13 0.114 0.705 0.519
Sm14 0.386 0.405 0.091
Sm15 0.091 0.905 0.386
Sm16 0.409 0.114 0.595
Sm17 0.091 0.185 0.205
Sm18 0.481 0.685 0.095
Sm19 0.815 0.909 0.295
Sm20 0.114 0.409 0.095
Sm21 0.386 0.981 0.795
Sm22 0.595 0.614 0.409
Sm23 0.905 0.815 0.519
Sm24 0.795 0.315 0.909
Sm25 0.405 0.386 0.591
Sm26 0.095 0.185 0.481
Sm27 0.205 0.685 0.091
Sm28 0.185 0.091 0.705
Sm29 0.614 0.019 0.205
Sm30 0.886 0.591 0.905
Sm31 0.519 0.315 0.905
Sm32 0.591 0.886 0.405
Sm33 0.909 0.815 0.795
Sm34 0.909 0.095 0.614
Sm35 0.886 0.295 0.481
Sm36 0.185 0.095 0.981
Sm37 0.614 0.595 0.909
Sm38 0.405 0.019 0.315
Sm39 0.295 0.409 0.815
Sm40 0.205 0.519 0.614
Sm41 0.905 0.091 0.886
Sm42 0.685 0.205 0.591
Sm43 0.481 0.795 0.886
Sm44 0.019 0.405 0.815
Sm45 0.409 0.295 0.315
Sm46 0.019 0.614 0.705
Sm47 0.685 0.481 0.595
Sm48 0.295 0.886 0.981
Cu1 0.750 0.375 0.125
Cu2 0.875 0.750 0.125
Cu3 0.375 0.750 0.625
Cu4 0.250 0.125 0.375
Cu5 0.875 0.125 0.250
Cu6 0.375 0.625 0.250
Cu7 0.625 0.375 0.750
Cu8 0.125 0.875 0.750
Cu9 0.750 0.875 0.625
Cu10 0.625 0.250 0.375
Cu11 0.125 0.250 0.875
Cu12 0.250 0.625 0.875
O1 0.125 0.375 0.250
O2 0.000 0.500 0.000
O3 0.000 0.000 0.000
O4 0.375 0.250 0.125
O5 0.500 0.000 0.500
O6 0.500 0.500 0.000
O7 0.125 0.750 0.375
O8 0.750 0.125 0.875
O9 0.750 0.625 0.375
O10 0.375 0.125 0.750
O11 0.625 0.875 0.250
O12 0.500 0.500 0.500
O13 0.500 0.000 0.000
O14 0.000 0.000 0.500
O15 0.250 0.375 0.625
O16 0.250 0.875 0.125
O17 0.000 0.500 0.500
O18 0.875 0.250 0.625
O19 0.625 0.750 0.875
O20 0.875 0.625 0.750

Formation energy without anion corrections in eV/f.u.: -27.78


# 7
A plane-wave DFT calculation with PBE-GGA was carried out for TaV2Os after structural relaxation.

Cell: 3.070 4.363 4.363 Å, 90.00 90.00 90.00°
Sites, in units of the cell vectors:
V1 0.000 0.000 0.500
V2 0.000 0.500 0.000
Os1 0.500 0.000 0.000
Ta1 0.500 0.500 0.500

ΔE_f in meV/atom: -266


# 8
A plane-wave DFT calculation with PBE-GGA was carried out for ZnFe2H2 after structural relaxation.

Cell: 3.092 3.092 4.882 Å, 71.53 71.53 90.00°
Sites, in units of the cell vectors:
H1 0.750 0.250 0.500
H2 0.250 0.750 0.500
Zn1 0.000 0.000 0.000
Fe1 0.339 0.339 0.322
Fe2 0.661 0.661 0.678

E_tot in eV/atom: -4.946


# 9
A plane-wave DFT calculation with PBE-GGA was carried out for MnAl2Se after structural relaxation.

Cell: 7.363 7.363 5.880 Å, 51.23 51.23 90.00°
Sites, in units of the cell vectors:
Mn1 0.500 0.500 0.000
Mn2 0.250 0.750 0.500
Al1 0.635 0.125 0.250
Al2 0.115 0.625 0.250
Al3 0.375 0.365 0.750
Al4 0.875 0.885 0.750
Se1 0.000 0.000 0.000
Se2 0.750 0.250 0.500

Formation energy without anion corrections in eV/f.u.: 0.52


# 10
A plane-wave DFT calculation with PBE-GGA was carried out for PmHo3Sc2S6 after structural relaxation.

Cell: 6.680 6.680 6.660 Å, 99.62 99.62 120.08°
Sites, in units of the cell vectors:
Pm1 0.000 0.000 0.000
Ho1 0.160 0.840 0.500
Ho2 0.840 0.160 0.500
Ho3 0.500 0.500 0.500
Sc1 0.336 0.664 0.000
Sc2 0.664 0.336 0.000
S1 0.918 0.568 0.753
S2 0.731 0.731 0.242
S3 0.082 0.432 0.247
S4 0.568 0.918 0.753
S5 0.269 0.269 0.758
S6 0.432 0.082 0.247

Formation energy without anion corrections in eV/f.u.: -23.18


# 11
A plane-wave DFT calculation with PBE-GGA was carried out for YAl2TcO after structural relaxation.

Cell: 5.095 3.748 5.095 Å, 90.00 90.00 90.00°
Sites, in units of the cell vectors:
Y1 0.500 0.500 0.500
Tc1 0.000 0.000 0.000
O1 0.000 0.500 0.000
Al1 0.000 0.000 0.500
Al2 0.500 0.000 0.000

Formation energy without anion corrections in eV/f.u.: -1.47


# 12
A plane-wave DFT calculation with PBE-GGA was carried out for CaReBr2 after structural relaxation.

Cell: 3.313 3.313 8.895 Å, 90.00 90.00 90.00°
Sites, in units of the cell vectors:
Re1 0.500 0.500 0.774
Ca1 0.000 0.000 0.508
Br1 0.000 0.000 0.907
Br2 0.500 0.500 0.311

Formation energy without anion corrections in eV/f.u.: -0.13


Number 1: total magnetic moment 0.00 μB/f.u.. Number 2: total magnetic moment 4.55 μB/f.u.. Number 3: total magnetic moment 0.00 μB/f.u.. Number 4: total magnetic moment 0.00 μB/f.u.. Number 5: total magnetic moment 0.00 μB/f.u.. Number 6: total magnetic moment 0.00 μB/f.u.. Number 7: total magnetic moment 0.00 μB/f.u.. Number 8: total magnetic moment 4.17 μB/f.u.. Number 9: total magnetic moment 3.80 μB/f.u.. Number 10: total magnetic moment 0.00 μB/f.u.. Number 11: total magnetic moment 0.00 μB/f.u.. Number 12: total magnetic moment 0.00 μB/f.u..